# 1
Computed, not measured: a relaxed structure of KPbS2 at the PBE-GGA level of DFT.

Structure (CIF):
```
data_KPbS2
_chemical_formula_sum 'K1 Pb1 S2'
_cell_length_a 3.590
_cell_length_b 3.590
_cell_length_c 7.811
_cell_angle_alpha 90.00
_cell_angle_beta 90.00
_cell_angle_gamma 90.00
_space_group_name_H-M_alt 'P 4/m m m'
_space_group_IT_number 123
_space_group_name_Hall '-P 4 2'
loop_
_atom_site_label
_atom_site_type_symbol
_atom_site_fract_x
_atom_site_fract_y
_atom_site_fract_z
K1 K 0.000 0.000 0.000
Pb1 Pb 0.000 0.000 0.500
S1 S 0.500 0.500 0.276
```

* E_tot: -14.90 eV/cell
* crystal system: tetragonal
* raw formation energy: -1.84 eV/f.u.

---

# 2
Computed, not measured: a relaxed structure of CuGeI2N at the PBE-GGA level of DFT.

Structure (CIF):
```
data_CuGeI2N
_chemical_formula_sum 'Cu1 Ge1 I2 N1'
_cell_length_a 5.861
_cell_length_b 5.861
_cell_length_c 3.523
_cell_angle_alpha 90.00
_cell_angle_beta 90.00
_cell_angle_gamma 90.00
_space_group_name_H-M_alt 'P 4/m m m'
_space_group_IT_number 123
_space_group_name_Hall '-P 4 2'
loop_
_atom_site_label
_atom_site_type_symbol
_atom_site_fract_x
_atom_site_fract_y
_atom_site_fract_z
Cu1 Cu 0.000 0.000 0.000
Ge1 Ge 0.500 0.500 0.500
I1 I 0.000 0.500 0.500
N1 N 0.500 0.500 0.000
```

* E_tot: -16.26 eV/cell
* crystal system: tetragonal
* raw formation energy: 3.88 eV/f.u.

---

# 3
Computed, not measured: a relaxed structure of Zr2MnAgH at the PBE-GGA level of DFT.

Structure (CIF):
```
data_Zr2MnAgH
_chemical_formula_sum 'Zr2 Mn1 Ag1 H1'
_cell_length_a 4.610
_cell_length_b 4.610
_cell_length_c 3.581
_cell_angle_alpha 90.00
_cell_angle_beta 90.00
_cell_angle_gamma 90.00
_space_group_name_H-M_alt 'P 4/m m m'
_space_group_IT_number 123
_space_group_name_Hall '-P 4 2'
loop_
_atom_site_label
_atom_site_type_symbol
_atom_site_fract_x
_atom_site_fract_y
_atom_site_fract_z
Zr1 Zr 0.000 0.500 0.000
Mn1 Mn 0.000 0.000 0.500
Ag1 Ag 0.500 0.500 0.500
H1 H 0.000 0.000 0.000
```

* E_tot: -32.78 eV/cell
* crystal system: tetragonal

---

# 4
Computed, not measured: a relaxed structure of Ag3TeBr at the PBE-GGA level of DFT.

Structure (CIF):
```
data_Ag3TeBr
_chemical_formula_sum 'Ag12 Te4 Br4'
_cell_length_a 8.860
_cell_length_b 6.834
_cell_length_c 9.002
_cell_angle_alpha 90.00
_cell_angle_beta 101.44
_cell_angle_gamma 90.00
_space_group_name_H-M_alt 'P 1 21/c 1'
_space_group_IT_number 14
loop_
_space_group_symop_operation_xyz
'x,y,z'
'-x,-y,-z'
'-x,y+1/2,-z+1/2'
'x,-y+1/2,z+1/2'
loop_
_atom_site_label
_atom_site_type_symbol
_atom_site_fract_x
_atom_site_fract_y
_atom_site_fract_z
Ag1 Ag 0.009 0.073 0.152
Ag2 Ag 0.172 0.702 0.110
Ag3 Ag 0.330 0.022 0.887
Te1 Te 0.148 0.186 0.447
Br1 Br 0.433 0.699 0.792
```

* E_tot: -56.05 eV/cell
* crystal system: monoclinic
* raw formation energy: -0.64 eV/f.u.

---

# 5
Computed, not measured: a relaxed structure of BaIn2Pt at the PBE-GGA level of DFT.

Structure (CIF):
```
data_BaIn2Pt
_chemical_formula_sum 'Ba4 In8 Pt4'
_cell_length_a 7.545
_cell_length_b 7.545
_cell_length_c 7.545
_cell_angle_alpha 90.00
_cell_angle_beta 90.00
_cell_angle_gamma 90.00
_space_group_name_H-M_alt 'F -4 3 m'
_space_group_IT_number 216
_space_group_name_Hall 'F -4 2 3'
loop_
_atom_site_label
_atom_site_type_symbol
_atom_site_fract_x
_atom_site_fract_y
_atom_site_fract_z
Ba1 Ba 0.000 0.000 0.000
In1 In 0.000 0.000 0.500
In2 In 0.250 0.250 0.750
Pt1 Pt 0.250 0.250 0.250
```

* E_tot: -57.75 eV/cell
* crystal system: cubic

---

# 6
Computed, not measured: a relaxed structure of Pu4NiRh3 at the PBE-GGA level of DFT.

Structure (CIF):
```
data_Pu4NiRh3
_chemical_formula_sum 'Pu8 Ni2 Rh6'
_cell_length_a 4.835
_cell_length_b 4.835
_cell_length_c 13.613
_cell_angle_alpha 90.00
_cell_angle_beta 90.00
_cell_angle_gamma 90.00
_space_group_name_H-M_alt 'I 4/m m m'
_space_group_IT_number 139
_space_group_name_Hall '-I 4 2'
loop_
_atom_site_label
_atom_site_type_symbol
_atom_site_fract_x
_atom_site_fract_y
_atom_site_fract_z
Pu1 Pu 0.000 0.500 0.124
Ni1 Ni 0.000 0.000 0.000
Rh1 Rh 0.000 0.000 0.249
Rh2 Rh 0.000 0.000 0.500
```

* E_tot: -175.59 eV/cell
* crystal system: tetragonal

---

Number 1: N(E_F) 0.73 states/eV/atom, size of the total moment 0.00 μB/cell. Number 2: N(E_F) 0.49 states/eV/atom, size of the total moment 0.00 μB/cell. Number 3: N(E_F) 0.94 states/eV/atom, size of the total moment 0.71 μB/cell. Number 4: N(E_F) 0.00 states/eV/atom, size of the total moment 0.00 μB/cell. Number 5: N(E_F) 0.70 states/eV/atom, size of the total moment 0.00 μB/cell. Number 6: N(E_F) 3.90 states/eV/atom, size of the total moment 40.23 μB/cell.